# 1
5
Lattice="-2.834 3.184 2.302 -2.919 0.551 -4.356 -2.872 -3.616 1.466" Properties=species:S:1:pos:R:3 comment="HfGeMoS2 | the Alexandria database | PBE | relaxed" m_tot_mub_per_fu=3.7 formation_energy_uncorrected_ev_per_atom=0.49 space_group="P4/mmm, No. 123" pbc="T T T"
S -1.417 1.592 1.151
Mo -4.312 0.060 -0.294
Hf 0.000 0.000 0.000
Ge -1.459 0.276 -2.178
S -1.436 -1.808 0.733

---

# 2
5
Lattice="-2.108 0.280 4.593 2.102 -3.869 1.200 3.967 2.669 1.659" Properties=species:S:1:pos:R:3 comment="Hf2TiGeMo | the Alexandria database | PBE | relaxed" m_tot_mub_per_fu=1.1 e_form_kj_per_mol_fu=385.2 space_group="P4/mmm, No. 123" pbc="T T T"
Ti 1.051 -1.935 0.600
Hf 1.984 1.335 0.829
Ge 1.980 -0.460 3.726
Mo 0.000 0.000 0.000
Hf -1.054 0.140 2.296

---

# 3
5
Lattice="-2.074 -4.272 -1.774 3.347 -2.613 2.380 -3.041 -0.206 4.050" Properties=species:S:1:pos:R:3 comment="YHfGe2Mo | the Alexandria database | PBE | relaxed" m_tot_mub_per_fu=1.0 e_form_kj_per_mol_fu=300.0 space_group="P4/mmm, No. 123" pbc="T T T"
Ge -1.521 -0.103 2.025
Ge -1.037 -2.136 -0.887
Hf 0.000 0.000 0.000
Mo 1.673 -1.307 1.190
Y -0.884 -3.545 2.328